Below is a relaxed SrCrMo4 crystal, with properties calculated at the PBE level.

- DFT formation energy: 73.3 kJ per mole of atoms

Lattice parameters (Å, degrees): 7.6821 7.6821 7.6821 90.00 90.00 90.00
With the nearest neighbours (Å) after each atom.
Space group F-43m (No. 216)
Asymmetric unit:
1 Sr 0.0000 0.0000 0.0000 x4  12 Mo 3.18, 4 Cr 3.33
2 Cr 0.2500 0.2500 0.7500 x4  12 Mo 3.19, 4 Sr 3.33
3 Mo 0.1253 0.1253 0.3747 x16  6 Mo 2.71-2.72